The following is a DFT calculation (PBE) of Ba3CaPt2O9 after structural relaxation.

```
15
Lattice="5.919 0.000 0.000 -2.960 5.126 0.000 0.000 0.000 7.283" Properties=species:S:1:pos:R:3 pbc="T T T"
Ba 0.000 0.000 0.000
Ba 0.000 3.418 4.887
Ba 2.960 1.709 2.396
Ca 0.000 0.000 3.641
Pt 0.000 3.418 1.176
Pt 2.960 1.709 6.107
O -1.480 2.563 0.000
O 0.000 1.821 2.310
O -1.383 4.216 2.310
O 1.577 0.911 4.973
O 2.960 0.000 0.000
O 1.480 2.563 0.000
O 1.383 4.216 2.310
O 4.342 0.911 4.973
O 2.960 3.305 4.973
```

Values from the calculation:
**ΔE_f (raw)**: -1.7521 eV/atom